Computed, not measured: a relaxed KNiI crystal at the PBE-GGA level of DFT.

Cell: 4.3513 4.3513 5.1436 Å, 90.00 90.00 120.00°
Space group P-6m2 (No. 187)
Asymmetric unit:
K1 0.0000 0.0000 0.0000
Ni1 0.3333 0.6667 0.5000
I1 0.6667 0.3333 0.5000

Results
crystal system	hexagonal
formation energy (no corrections)	-23.3	kJ/mol of atoms

Computed, not measured: a relaxed Zr4ZnCd crystal at the PBE-GGA level of DFT.

Cell: 8.1346 8.1346 8.1346 Å, 90.00 90.00 90.00°
Space group F-43m (No. 216)
Asymmetric unit:
Zr1 0.1252 0.1252 0.1252
Zn1 0.0000 0.0000 0.5000
Cd1 0.2500 0.2500 0.7500

Results
formation energy	0.318	eV/atom
crystal system	cubic

Computed, not measured: a relaxed GdYEr2 crystal at the PBE-GGA level of DFT.

Cell: 7.9928 7.9928 7.9928 Å, 90.00 90.00 90.00°
Space group Fm-3m (No. 225)
Asymmetric unit:
Gd1 0.0000 0.0000 0.0000
Y1 0.0000 0.0000 0.5000
Er1 0.2500 0.2500 0.2500

Results
formation energy	0.119	eV/atom
crystal system	cubic

Computed, not measured: a relaxed TcMoAs crystal at the PBE-GGA level of DFT.

Cell: 2.8964 2.8964 6.3937 Å, 90.00 90.00 120.00°
Space group P3m1 (No. 156)
Asymmetric unit:
Tc1 0.0000 0.0000 0.0000
Mo1 0.6667 0.3333 0.6748
As1 0.3333 0.6667 0.3296

Results
formation energy	0.113	eV/atom
crystal system	trigonal

| no. | E above lowest polymorph (meV per atom) | total moment (Bohr magnetons per cell) | VASP energy (eV per atom) |
| --- | --- | --- | --- |
| 1 | 79 | 0.0 | -3.05 |
| 2 | 459 | 0.0 | -5.75 |
| 3 | 93 | 34.4 | -7.30 |
| 4 | 170 | 0.0 | -8.50 |